Material: Ce4Os2I5
Method: DFT, PBE-GGA
State: optimized geometry

## Properties
space group	C2/m, No. 12

a b c (Å): 4.2104 8.6702 11.5385
angles (deg): 94.55 100.51 90.00
Each line ends with the local moment (μB).
Atoms (fractional coordinates):
1 Ce 0.6532 0.5605 0.3063  0.81
2 Ce 0.0139 0.6999 0.0277  0.49
3 Ce 0.3468 0.4395 0.6937  0.81
4 Ce 0.9861 0.3001 0.9723  0.49
5 Os 0.9172 0.5592 0.8345  -0.14
6 Os 0.0828 0.4408 0.1655  -0.14
7 I 0.1511 0.8489 0.3021  -0.01
8 I 0.8489 0.1511 0.6979  -0.01
9 I 0.2038 0.3078 0.4076  -0.01
10 I 0.5000 0.0000 0.0000  -0.01
11 I 0.7962 0.6922 0.5924  -0.01

Material: Ce2OsI
Method: DFT, PBE-GGA
State: optimized geometry

## Properties
space group	P4/mmm, No. 123
energy above the lowest structure with this stoichiometry	171.0	meV/atom

a b c (Å): 3.5009 3.5009 8.3571
angles (deg): 90.00 90.00 90.00
Each line ends with the local moment (μB).
Atoms (fractional coordinates):
1 I 0.5000 0.5000 0.5000  -0.01
2 Os 0.5000 0.5000 0.0000  -0.10
3 Ce 0.0000 0.0000 0.7945  0.77
4 Ce 0.0000 0.0000 0.2055  0.77

Material: CeOsI
Method: DFT, PBE-GGA
State: optimized geometry

## Properties
space group	R-3m, No. 166
energy above the lowest structure with this stoichiometry	0.0	meV/atom

a b c (Å): 4.2617 4.2617 12.8931
angles (deg): 80.47 80.49 60.00
Each line ends with the local moment (μB).
Atoms (fractional coordinates):
1 Ce 0.0518 0.5521 0.3443  0.55
2 Ce 0.9482 0.4479 0.6557  0.55
3 Os 0.3280 0.8280 0.5159  0.01
4 Os 0.6720 0.1720 0.4841  0.01
5 I 0.4422 0.9427 0.1730  -0.01
6 I 0.5578 0.0573 0.8270  -0.01

The following raw total energy values (in eV/atom) correspond, in order, to the records above: -5.490, -6.606, -6.932.